Material: ScFeNO2
Method: DFT, PBE with a Hubbard U
State: optimized geometry

It has space group P4/mmm (No. 123), with a = 3.726 Å, b = 3.726 Å, c = 3.860 Å, α = 90.00°, β = 90.00° and γ = 90.00°. The inequivalent atoms are Sc at (0.000, 0.000, 0.000), Fe at (0.500, 0.500, 0.500), N at (0.500, 0.500, 0.000) and O at (0.000, 0.500, 0.500).

The density of states at the Fermi level is 0.1370 states/eV per atom. As for the energy: -35.493 eV per cell.